Computed, not measured: a relaxed structure of CdCuCl2 at the GGA-PBE level of DFT.

Its energy above the most stable polymorph in this dataset is 286 meV per atom.

```
CdCuCl2
1.0
6.834 0.000 0.000
0.000 7.489 0.000
0.000 0.000 7.514
Cd Cu Cl
4 4 8
Direct
0.000 0.000 0.000
0.000 0.500 0.500
0.500 0.000 0.500
0.500 0.500 0.000
0.000 0.000 0.500
0.000 0.500 0.000
0.500 0.000 0.000
0.500 0.500 0.500
0.000 0.250 0.250
0.000 0.250 0.750
0.000 0.750 0.250
0.000 0.750 0.750
0.500 0.250 0.250
0.500 0.250 0.750
0.500 0.750 0.250
0.500 0.750 0.750
```



Computed, not measured: a relaxed structure of CdCuCl2 at the GGA-PBE level of DFT.

Its energy above the most stable polymorph in this dataset is 369 meV per atom.

```
CdCuCl2
1.0
3.264 0.000 0.000
0.000 3.264 0.000
0.000 0.000 7.551
Cd Cu Cl
1 1 2
Direct
0.000 0.000 0.000
0.000 0.000 0.500
0.500 0.500 0.295
0.500 0.500 0.705
```



Computed, not measured: a relaxed structure of Cd3Cu5Cl12 at the GGA-PBE level of DFT.

```
Cd3Cu5Cl12
1.0
-7.597 7.597 7.597
7.597 -7.597 7.597
7.597 7.597 -7.597
Cd Cu Cl
12 20 48
Direct
0.125 0.250 0.375
0.125 0.375 0.750
0.250 0.375 0.125
0.250 0.875 0.625
0.375 0.125 0.250
0.375 0.750 0.125
0.625 0.250 0.875
0.625 0.875 0.750
0.750 0.125 0.375
0.750 0.625 0.875
0.875 0.625 0.250
0.875 0.750 0.625
0.000 0.000 0.000
0.000 0.000 0.500
0.000 0.500 0.000
0.000 0.500 0.500
0.125 0.750 0.875
0.125 0.875 0.250
0.250 0.125 0.875
0.250 0.625 0.375
0.375 0.250 0.625
0.375 0.625 0.750
0.500 0.000 0.000
0.500 0.000 0.500
0.500 0.500 0.000
0.500 0.500 0.500
0.625 0.375 0.250
0.625 0.750 0.375
0.750 0.375 0.625
0.750 0.875 0.125
0.875 0.125 0.750
0.875 0.250 0.125
0.030 0.208 0.130
0.030 0.323 0.901
0.078 0.708 0.677
0.078 0.870 0.401
0.099 0.630 0.422
0.099 0.970 0.677
0.130 0.030 0.208
0.130 0.599 0.922
0.177 0.208 0.578
0.177 0.470 0.599
0.208 0.130 0.030
0.208 0.578 0.177
0.292 0.323 0.922
0.292 0.470 0.370
0.323 0.901 0.030
0.323 0.922 0.292
0.370 0.292 0.470
0.370 0.578 0.901
0.401 0.078 0.870
0.401 0.823 0.530
0.422 0.099 0.630
0.422 0.823 0.792
0.470 0.370 0.292
0.470 0.599 0.177
0.530 0.401 0.823
0.530 0.630 0.708
0.578 0.177 0.208
0.578 0.901 0.370
0.599 0.177 0.470
0.599 0.922 0.130
0.630 0.422 0.099
0.630 0.708 0.530
0.677 0.078 0.708
0.677 0.099 0.970
0.708 0.530 0.630
0.708 0.677 0.078
0.792 0.422 0.823
0.792 0.870 0.970
0.823 0.530 0.401
0.823 0.792 0.422
0.870 0.401 0.078
0.870 0.970 0.792
0.901 0.030 0.323
0.901 0.370 0.578
0.922 0.130 0.599
0.922 0.292 0.323
0.970 0.677 0.099
0.970 0.792 0.870
```



Computed, not measured: a relaxed structure of CdCu5Cl12 at the GGA-PBE level of DFT.

```
CdCu5Cl12
1.0
5.921 0.000 0.000
2.717 5.833 0.000
2.217 1.678 12.723
Cd Cu Cl
1 5 12
Direct
0.000 0.000 0.000
0.000 0.000 0.500
0.331 0.349 0.996
0.334 0.333 0.500
0.666 0.667 0.500
0.669 0.651 0.004
0.016 0.413 0.895
0.031 0.237 0.608
0.302 0.097 0.392
0.358 0.886 0.116
0.364 0.571 0.608
0.390 0.726 0.886
0.610 0.274 0.114
0.636 0.429 0.392
0.642 0.114 0.884
0.698 0.903 0.608
0.969 0.763 0.392
0.984 0.587 0.105
```



What are the D(E_F) values for these records? In order: 3.8; 2.0; 51.6; 1.6 states/eV per cell.
What are the raw formation energy values for these records? In order: -189; -106; -640; -549 meV/atom.
What are the VASP energy values for these records? In order: -2.3647; -2.2823; -2.9094; -2.9686 eV/atom.